This record from Alexandria describes a geometry-optimized MnHg2AsF structure. The functional is PBE+U.

Cell and atoms, written as POSCAR:
```
MnHg2AsF
1.0
5.4066 0.0000 0.0000
0.0000 4.6816 0.0000
0.0000 0.0000 5.4066
As Mn Hg F
1 1 2 1
Direct
0.0000 0.5000 0.0000
0.0000 0.0000 0.0000
0.0000 0.0000 0.5000
0.5000 0.0000 0.0000
0.5000 0.5000 0.5000
```

Summary:
Magnetic moment   3.2 μB/f.u.
E_tot   -14.23 eV/cell